[1]
First-principles (PBE-GGA) data for crystalline BaSi2Pt5 at its relaxed geometry, as listed in the Open Quantum Materials Database.

abc: 6.5258 6.5258 6.5258
angles: 144.25 113.79 77.59
Fractional positions:
Ba1 0.0000 0.0000 0.0000
Si1 0.2631 0.7631 0.5000
Si2 0.7369 0.2369 0.5000
Pt1 0.1478 0.3420 0.8057
Pt2 0.4637 0.6580 0.8057
Pt3 0.5000 0.0000 0.5000
Pt4 0.5363 0.3420 0.1943
Pt5 0.8522 0.6580 0.1943

Computed properties:
Calculated total energy: -6.1363 eV/atom
Size of the total moment: 0.00 μB/f.u.
Symmetry: Immm, No. 71



[2]
First-principles (PBE-GGA) data for crystalline Ba2Si2Pt3 at its relaxed geometry, as listed in the Open Quantum Materials Database.

abc: 11.3931 11.3931 11.3931
angles: 21.49 21.49 21.49
Fractional positions:
Ba1 0.0000 0.0000 0.0000
Ba2 0.4963 0.4963 0.4963
Si1 0.2470 0.2470 0.2470
Si2 0.7442 0.7442 0.7442
Pt1 0.4032 0.4032 0.4032
Pt2 0.5978 0.5978 0.5978
Pt3 0.8951 0.8951 0.8951

Computed properties:
Calculated total energy: -5.4056 eV/atom
Size of the total moment: 0.01 μB/f.u.
Symmetry: R3m, No. 160



[3]
First-principles (PBE-GGA) data for crystalline BaSi2SnPt at its relaxed geometry, as listed in the Open Quantum Materials Database.

abc: 6.2146 6.2146 6.2146
angles: 136.27 136.27 63.56
Fractional positions:
Ba1 0.0000 0.0000 0.0000
Si1 0.2447 0.7447 0.5000
Si2 0.7447 0.2447 0.5000
Sn1 0.3939 0.3939 0.0000
Pt1 0.6594 0.6594 0.0000

Computed properties:
Calculated total energy: -5.1497 eV/atom
Size of the total moment: 0.00 μB/f.u.
Symmetry: I4mm, No. 107



[4]
First-principles (PBE-GGA) data for crystalline BaSiSn2Pt at its relaxed geometry, as listed in the Open Quantum Materials Database.

abc: 6.3913 6.3913 6.3913
angles: 135.91 135.91 64.13
Fractional positions:
Ba1 0.0000 0.0000 0.0000
Si1 0.4147 0.4147 0.0000
Sn1 0.2578 0.7578 0.5000
Sn2 0.7578 0.2578 0.5000
Pt1 0.6336 0.6336 0.0000

Computed properties:
Calculated total energy: -4.9123 eV/atom
Size of the total moment: 0.00 μB/f.u.
Symmetry: I4mm, No. 107



[5]
First-principles (PBE-GGA) data for crystalline Ba4SmPt2 at its relaxed geometry, as listed in the Open Quantum Materials Database.

abc: 6.8622 6.8622 5.6241
angles: 92.82 92.82 99.63
Fractional positions:
Ba1 0.0281 0.6850 0.7406
Ba2 0.3150 0.9719 0.2594
Ba3 0.6850 0.0281 0.7406
Ba4 0.9719 0.3150 0.2594
Sm1 0.5000 0.5000 0.0000
Pt1 0.1989 0.1989 0.7864
Pt2 0.8011 0.8011 0.2136

Computed properties:
Calculated total energy: -3.8149 eV/atom
Size of the total moment: 0.02 μB/f.u.
Symmetry: C2/m, No. 12



[6]
First-principles (PBE-GGA) data for crystalline BaSmPt at its relaxed geometry, as listed in the Open Quantum Materials Database.

abc: 5.1899 5.1899 5.1899
angles: 60.00 60.00 60.00
Fractional positions:
Ba1 0.0000 0.0000 0.0000
Sm1 0.5000 0.5000 0.5000
Pt1 0.2500 0.2500 0.2500

Computed properties:
Calculated total energy: -4.7058 eV/atom
Polymorph energy (0 for the lowest one): 0.000 eV per formula unit
Size of the total moment: 0.01 μB/f.u.
Symmetry: F-43m, No. 216



[7]
First-principles (PBE-GGA) data for crystalline BaSnPt at its relaxed geometry, as listed in the Open Quantum Materials Database.

abc: 5.0902 5.0902 5.0902
angles: 60.00 60.00 60.00
Fractional positions:
Ba1 0.0000 0.0000 0.0000
Sn1 0.5000 0.5000 0.5000
Pt1 0.2500 0.2500 0.2500

Computed properties:
Calculated total energy: -4.4295 eV/atom
Size of the total moment: 0.38 μB/f.u.
Symmetry: F-43m, No. 216



[8]
First-principles (PBE-GGA) data for crystalline BaSnPt at its relaxed geometry, as listed in the Open Quantum Materials Database.

abc: 5.2789 5.2789 5.2789
angles: 60.00 60.00 60.00
Fractional positions:
Ba1 0.0000 0.0000 0.0000
Sn1 0.2500 0.2500 0.2500
Pt1 0.7500 0.7500 0.7500

Computed properties:
Calculated total energy: -3.6824 eV/atom
Size of the total moment: 0.00 μB/f.u.
Symmetry: F-43m, No. 216



[9]
First-principles (PBE-GGA) data for crystalline BaSrSn2Pt4 at its relaxed geometry, as listed in the Open Quantum Materials Database.

abc: 4.6296 4.6296 10.8507
angles: 90.00 90.00 120.00
Fractional positions:
Ba1 0.0000 0.0000 0.0000
Sr1 0.6667 0.3333 0.5000
Sn1 0.3333 0.6667 0.2587
Sn2 0.3333 0.6667 0.7413
Pt1 0.0000 0.0000 0.3088
Pt2 0.0000 0.0000 0.6912
Pt3 0.6667 0.3333 0.2105
Pt4 0.6667 0.3333 0.7895

Computed properties:
Calculated total energy: -5.2011 eV/atom
Size of the total moment: 0.01 μB/f.u.
Symmetry: P-6m2, No. 187



[10]
First-principles (PBE-GGA) data for crystalline BaSrSn4Pt2 at its relaxed geometry, as listed in the Open Quantum Materials Database.

abc: 7.8184 6.5734 6.5734
angles: 39.33 90.00 90.00
Fractional positions:
Ba1 0.0000 0.0000 0.0000
Sr1 0.5000 0.8841 0.8841
Sn1 0.2023 0.2862 0.2862
Sn2 0.3018 0.6007 0.6007
Sn3 0.6982 0.6007 0.6007
Sn4 0.7977 0.2862 0.2862
Pt1 0.0000 0.7269 0.7269
Pt2 0.5000 0.1581 0.1581

Computed properties:
Calculated total energy: -4.6962 eV/atom
Size of the total moment: 0.00 μB/f.u.
Symmetry: Amm2, No. 38



[11]
First-principles (PBE-GGA) data for crystalline BaZn2SnPt at its relaxed geometry, as listed in the Open Quantum Materials Database.

abc: 6.3624 6.3624 6.3624
angles: 137.01 137.01 62.42
Fractional positions:
Ba1 0.0000 0.0000 0.0000
Zn1 0.2372 0.7372 0.5000
Zn2 0.7372 0.2372 0.5000
Sn1 0.3791 0.3791 0.0000
Pt1 0.6271 0.6271 0.0000

Computed properties:
Calculated total energy: -3.4097 eV/atom
Size of the total moment: 0.00 μB/f.u.
Symmetry: I4mm, No. 107



[12]
First-principles (PBE-GGA) data for crystalline BaSrPt2 at its relaxed geometry, as listed in the Open Quantum Materials Database.

abc: 9.0697 4.0440 6.0093
angles: 90.00 90.00 90.00
Fractional positions:
Ba1 0.0000 0.0000 0.0000
Ba2 0.5000 0.0000 0.0000
Sr1 0.2500 0.0000 0.4571
Sr2 0.7500 0.0000 0.5429
Pt1 0.0000 0.5000 0.5000
Pt2 0.2500 0.5000 0.8276
Pt3 0.5000 0.5000 0.5000
Pt4 0.7500 0.5000 0.1724

Computed properties:
Calculated total energy: -4.5048 eV/atom
Polymorph energy (0 for the lowest one): 0.799 eV per formula unit
Size of the total moment: 0.00 μB/f.u.
Symmetry: Pmma, No. 51



[13]
First-principles (PBE-GGA) data for crystalline BaSrPt at its relaxed geometry, as listed in the Open Quantum Materials Database.

abc: 5.2140 5.2140 5.2140
angles: 60.00 60.00 60.00
Fractional positions:
Ba1 0.0000 0.0000 0.0000
Sr1 0.2500 0.2500 0.2500
Pt1 0.7500 0.7500 0.7500

Computed properties:
Calculated total energy: -3.1390 eV/atom
Polymorph energy (0 for the lowest one): 2.067 eV per formula unit
Size of the total moment: 0.00 μB/f.u.
Symmetry: F-43m, No. 216



[14]
First-principles (PBE-GGA) data for crystalline BaSrPt at its relaxed geometry, as listed in the Open Quantum Materials Database.

abc: 5.3484 5.3484 5.3484
angles: 60.00 60.00 60.00
Fractional positions:
Ba1 0.0000 0.0000 0.0000
Sr1 0.5000 0.5000 0.5000
Pt1 0.2500 0.2500 0.2500

Computed properties:
Calculated total energy: -3.8278 eV/atom
Polymorph energy (0 for the lowest one): 0.000 eV per formula unit
Size of the total moment: 0.00 μB/f.u.
Symmetry: F-43m, No. 216



[15]
First-principles (PBE-GGA) data for crystalline BaSrPt2 at its relaxed geometry, as listed in the Open Quantum Materials Database.

abc: 4.9572 4.9572 5.4852
angles: 90.00 90.00 120.00
Fractional positions:
Ba1 0.0000 0.0000 0.0000
Sr1 0.6667 0.3333 0.5000
Pt1 0.3333 0.6667 0.2532
Pt2 0.3333 0.6667 0.7468

Computed properties:
Calculated total energy: -4.7046 eV/atom
Polymorph energy (0 for the lowest one): 0.000 eV per formula unit
Size of the total moment: 0.01 μB/f.u.
Symmetry: P-6m2, No. 187



[16]
First-principles (PBE-GGA) data for crystalline Ba3SrPt at its relaxed geometry, as listed in the Open Quantum Materials Database.

abc: 6.3419 6.3419 6.3419
angles: 90.00 90.00 90.00
Fractional positions:
Ba1 0.0000 0.0000 0.5000
Ba2 0.0000 0.5000 0.0000
Ba3 0.5000 0.0000 0.0000
Sr1 0.5000 0.5000 0.5000
Pt1 0.0000 0.0000 0.0000

Computed properties:
Calculated total energy: -3.0857 eV/atom
Size of the total moment: 0.01 μB/f.u.
Symmetry: Pm-3m, No. 221



[17]
First-principles (PBE-GGA) data for crystalline BaThPt at its relaxed geometry, as listed in the Open Quantum Materials Database.

abc: 5.2014 5.2014 5.2014
angles: 60.00 60.00 60.00
Fractional positions:
Ba1 0.0000 0.0000 0.0000
Th1 0.5000 0.5000 0.5000
Pt1 0.2500 0.2500 0.2500

Computed properties:
Calculated total energy: -5.3495 eV/atom
Polymorph energy (0 for the lowest one): 0.000 eV per formula unit
Size of the total moment: 0.02 μB/f.u.
Symmetry: F-43m, No. 216



[18]
First-principles (PBE-GGA) data for crystalline BaThPt3 at its relaxed geometry, as listed in the Open Quantum Materials Database.

abc: 6.4819 6.4819 7.3111
angles: 90.00 90.00 120.00
Fractional positions:
Ba1 0.0000 0.0000 0.0000
Ba2 0.0000 0.0000 0.5000
Th1 0.6667 0.3333 0.0000
Th2 0.6667 0.3333 0.5000
Pt1 0.0565 0.4846 0.2500
Pt2 0.0565 0.5719 0.7500
Pt3 0.4281 0.4846 0.7500
Pt4 0.4281 0.9435 0.2500
Pt5 0.5154 0.5719 0.2500
Pt6 0.5154 0.9435 0.7500

Computed properties:
Calculated total energy: -6.2215 eV/atom
Size of the total moment: 0.00 μB/f.u.
Symmetry: P-6c2, No. 188



[19]
First-principles (PBE-GGA) data for crystalline BaTl2Pt2 at its relaxed geometry, as listed in the Open Quantum Materials Database.

abc: 6.8803 6.8803 6.8803
angles: 140.84 140.84 56.58
Fractional positions:
Ba1 0.0000 0.0000 0.0000
Tl1 0.2500 0.7500 0.5000
Tl2 0.7500 0.2500 0.5000
Pt1 0.3916 0.3916 0.0000
Pt2 0.6084 0.6084 0.0000

Computed properties:
Calculated total energy: -4.1793 eV/atom
Size of the total moment: 0.01 μB/f.u.
Symmetry: I4/mmm, No. 139



[20]
First-principles (PBE-GGA) data for crystalline BaTl5Pt2 at its relaxed geometry, as listed in the Open Quantum Materials Database.

abc: 8.4123 6.1431 6.1431
angles: 43.15 90.00 90.00
Fractional positions:
Ba1 0.0000 0.0000 0.0000
Tl1 0.2121 0.2947 0.2947
Tl2 0.3064 0.5866 0.5866
Tl3 0.5000 0.8781 0.8781
Tl4 0.6936 0.5866 0.5866
Tl5 0.7879 0.2947 0.2947
Pt1 0.0000 0.7141 0.7141
Pt2 0.5000 0.1500 0.1500

Computed properties:
Calculated total energy: -3.4749 eV/atom
Size of the total moment: 0.01 μB/f.u.
Symmetry: Amm2, No. 38